Entry 1:
Computed, not measured: crystalline YAlCoNi at its relaxed geometry at the GGA-PBE level of DFT. Values from VASP.

```
&SYSTEM
  ibrav = 0, nat = 4, ntyp = 4
/
ATOMIC_SPECIES
Y 88.91 Y.upf
Al 26.98 Al.upf
Co 58.93 Co.upf
Ni 58.69 Ni.upf
CELL_PARAMETERS angstrom
0.0000 3.1418 3.1418
3.1418 0.0000 3.1418
3.1418 3.1418 0.0000
ATOMIC_POSITIONS crystal
Y 0.0000 0.0000 0.0000
Al 0.5000 0.5000 0.5000
Co 0.2500 0.2500 0.2500
Ni 0.7500 0.7500 0.7500
```

Properties
Total DFT energy (no corrections): -6.1028 eV per atom
DFT formation energy: -0.329 eV/atom



Entry 2:
Computed, not measured: crystalline Sr2CeZrN4 at its relaxed geometry at the GGA-PBE level of DFT. Values from VASP.

```
&SYSTEM
  ibrav = 0, nat = 8, ntyp = 4
/
ATOMIC_SPECIES
Sr 87.62 Sr.upf
Ce 140.12 Ce.upf
Zr 91.22 Zr.upf
N 14.01 N.upf
CELL_PARAMETERS angstrom
6.1054 0.0000 0.0000
0.0000 3.5246 0.0000
-2.0203 0.0000 5.9678
ATOMIC_POSITIONS crystal
Sr 0.0000 0.0000 0.0000
Sr 0.5000 0.5000 0.0000
Ce 0.0000 0.5000 0.5000
Zr 0.5000 0.0000 0.5000
N 0.2483 0.0000 0.7027
N 0.2737 0.5000 0.2955
N 0.7263 0.5000 0.7045
N 0.7517 0.0000 0.2973
```

Properties
Total DFT energy (no corrections): -7.6245 eV per atom
Formation energy (no corrections): -1231.1 meV/atom